# 1
Material: TmPaCo3
Method: DFT, PBE-GGA
State: relaxed

## Properties
symmetry = P1 (1)
raw total energy = -7.230 eV per atom
total magnetization = 0.0 μB/f.u.
calculated formation energy = -173 meV per atom
ρ = 11.0 g cm⁻³

Cell: 5.9716 6.0398 6.1377 Å, 92.85 113.65 116.72°
Closest atoms and distances in Å follow each position.
Fractional positions:
1 Tm 0.0000 0.0000 0.0000  6 Co 2.84-3.12
2 Tm 0.4786 0.4250 0.5262  7 Co 2.86-3.19
3 Pa 0.2139 0.7720 0.6702  3 Co 2.23-2.34
4 Pa 0.7779 0.3961 0.1021  3 Co 2.20-2.25
5 Co 0.0070 0.3407 0.6797  1 Pa 2.34, 2 Co 2.40-2.51
6 Co 0.2173 0.6197 0.1445  1 Pa 2.24, 2 Co 2.35-2.44
7 Co 0.5209 0.5909 0.0072  1 Pa 2.25, 2 Co 2.35-2.51
8 Co 0.5462 0.9713 0.5545  1 Pa 2.23, 2 Co 2.34-2.40
9 Co 0.6188 0.0362 0.2099  1 Pa 2.20, 3 Co 2.34-2.44
10 Co 0.8826 0.8737 0.4708  1 Pa 2.24, 1 Co 2.35

***

# 2
Material: Cd2Cu
Method: DFT, PBE-GGA
State: relaxed

## Properties
symmetry = Fd-3m (227)
raw total energy = -1.566 eV per atom
total magnetization = 0.0 μB/f.u.
calculated formation energy = 410 meV per atom
ρ = 7.8 g cm⁻³

Cell: 5.5677 5.5677 5.5677 Å, 60.00 60.00 60.00°
Closest atoms and distances in Å follow each position.
Fractional positions:
1 Cd 0.0000 0.0000 0.0000  6 Cd 2.78
2 Cd 0.0000 0.0000 0.5000  6 Cd 2.78
3 Cd 0.0000 0.5000 0.0000  6 Cd 2.78
4 Cd 0.5000 0.0000 0.0000  6 Cd 2.78
5 Cu 0.3750 0.3750 0.3750  12 Cd 3.26, 4 Cu 3.41
6 Cu 0.6250 0.6250 0.6250  12 Cd 3.26, 4 Cu 3.41

***

# 3
Material: TlTe2W
Method: DFT, PBE-GGA
State: relaxed

## Properties
uncorrected formation energy = 0.340 eV per atom
symmetry = Cm (8)
raw total energy = -5.061 eV per atom
total magnetization = 0.3 μB/f.u.
ρ = 8.8 g cm⁻³

Cell: 5.7541 5.7541 7.0147 Å, 114.33 114.33 35.31°
Closest atoms and distances in Å follow each position.
Fractional positions:
1 Tl 0.0000 0.0000 0.0000  3 W 2.96-3.10
2 Te 0.2111 0.2111 0.6984  2 W 2.70
3 Te 0.3760 0.3760 0.2931  2 W 2.70
4 W 0.7163 0.7163 0.9958  4 Te 2.70, 2 Tl 2.96

***

Which of these has the highest ρ?
TmPaCo3

***

Repeat the third record exactly.
Material: TlTe2W
Method: DFT, PBE-GGA
State: relaxed

## Properties
uncorrected formation energy = 0.340 eV per atom
symmetry = Cm (8)
raw total energy = -5.061 eV per atom
total magnetization = 0.3 μB/f.u.
ρ = 8.8 g cm⁻³

Cell: 5.7541 5.7541 7.0147 Å, 114.33 114.33 35.31°
Closest atoms and distances in Å follow each position.
Fractional positions:
1 Tl 0.0000 0.0000 0.0000  3 W 2.96-3.10
2 Te 0.2111 0.2111 0.6984  2 W 2.70
3 Te 0.3760 0.3760 0.2931  2 W 2.70
4 W 0.7163 0.7163 0.9958  4 Te 2.70, 2 Tl 2.96

***

ρ of number 1 (TmPaCo3)?
11.0 g cm⁻³

***

The highest total magnetization belongs to which entry?
TlTe2W